(1)
# PBE-GGA TlCuRhW2, relaxed
# Energy of formation from the pure elements, eV/f.u.: 8.0
# Crystal system: tetragonal
data_TlCuRhW2
_chemical_formula_sum 'Tl1 Cu1 Rh1 W2'
_symmetry_space_group_name_H-M 'P 4/m m m'
_symmetry_Int_Tables_number 123
_symmetry_space_group_name_Hall '-P 4 2'
_cell_length_a 4.7418
_cell_length_b 4.7418
_cell_length_c 4.7346
_cell_angle_alpha 90.00
_cell_angle_beta 90.00
_cell_angle_gamma 90.00
loop_
_atom_site_label
_atom_site_type_symbol
_atom_site_fract_x
_atom_site_fract_y
_atom_site_fract_z
Tl1 Tl 0.0000 0.0000 0.0000
Cu1 Cu 0.5000 0.5000 0.0000
Rh1 Rh 0.5000 0.5000 0.5000
W1 W 0.0000 0.5000 0.5000

***

(2)
# PBE-GGA Y2TlCuRh, relaxed
# Energy of formation from the pure elements, eV/f.u.: 0.0
# Crystal system: tetragonal
data_Y2TlCuRh
_chemical_formula_sum 'Y2 Tl1 Cu1 Rh1'
_symmetry_space_group_name_H-M 'P 4/m m m'
_symmetry_Int_Tables_number 123
_symmetry_space_group_name_Hall '-P 4 2'
_cell_length_a 5.2735
_cell_length_b 5.2735
_cell_length_c 5.1639
_cell_angle_alpha 90.00
_cell_angle_beta 90.00
_cell_angle_gamma 90.00
loop_
_atom_site_label
_atom_site_type_symbol
_atom_site_fract_x
_atom_site_fract_y
_atom_site_fract_z
Y1 Y 0.0000 0.5000 0.0000
Tl1 Tl 0.0000 0.0000 0.5000
Cu1 Cu 0.5000 0.5000 0.5000
Rh1 Rh 0.0000 0.0000 0.0000

***

| no. | electronic total energy (eV per atom) | DOS at the Fermi energy (states/eV per atom) | total moment (μB/f.u.) |
| --- | --- | --- | --- |
| 1 | -6.335 | 0.9871 | 1.76 |
| 2 | -5.348 | 0.8035 | 0.00 |